Here is crystalline NdCrBrO4 at its relaxed geometry from the Alexandria database. Energies are from PBE with a Hubbard U.

```
NdCrBrO4
1.0
5.2285 -3.6925 0.0000
5.2285 3.6925 0.0000
-1.7134 0.0000 6.6748
Nd Cr Br O
2 2 2 8
direct
0.2337 0.2337 0.1262
0.7663 0.7663 0.8738
0.3619 0.3619 0.7354
0.6381 0.6381 0.2646
0.0187 0.0187 0.7537
0.9813 0.9813 0.2463
0.1354 0.4925 0.8554
0.2902 0.2902 0.4943
0.4770 0.4770 0.2321
0.4925 0.1354 0.8554
0.5075 0.8646 0.1446
0.5230 0.5230 0.7679
0.7098 0.7098 0.5057
0.8646 0.5075 0.1446
```

Computed properties:
Space group   No. 12
Uncorrected energy   -47.26 eV/f.u.
Volume   18.4 A^3/atom